# Cd2In7Pb | Alexandria via LeMat-Bulk | PBE-GGA | optimized geometry
# - energy of formation from the pure elements (eV per atom) = 0.09
# - VASP energy (eV/atom) = -2.380
data_Cd2In7Pb
_cell_length_a 10.6539
_cell_length_b 16.7632
_cell_length_c 3.2687
_cell_angle_alpha 90.00
_cell_angle_beta 90.00
_cell_angle_gamma 90.00
_space_group_name_H-M_alt 'C m m m'
_space_group_IT_number 65
_space_group_name_Hall '-C 2 2'
loop_
_atom_site_label
_atom_site_type_symbol
_atom_site_fract_x
_atom_site_fract_y
_atom_site_fract_z
Cd1 Cd 0.0000 0.1817 0.0000
In1 In 0.0000 0.3325 0.5000
In2 In 0.0000 0.5000 0.0000
In3 In 0.2479 0.3989 0.0000
Pb1 Pb 0.0000 0.0000 0.5000